[1]
{"formula": "La2SmPuN5", "functional": "PBE", "state": "relaxed", "formation_energy_uncorrected_ev_per_atom": -1.1409, "energy_ev_per_atom": -8.978, "cell": [[1.936, -6.528, 0.000], [1.936, 6.528, 0.000], [0.000, 0.000, 11.782]], "species": ["La", "La", "La", "La", "Sm", "Sm", "Pu", "Pu", "N", "N", "N", "N", "N", "N", "N", "N", "N", "N"], "frac_coords": [[0.094, 0.906, 0.500], [0.160, 0.840, 0.037], [0.840, 0.160, 0.537], [0.906, 0.094, 0.000], [0.267, 0.733, 0.782], [0.733, 0.267, 0.282], [0.458, 0.542, 0.272], [0.542, 0.458, 0.772], [0.076, 0.924, 0.843], [0.253, 0.747, 0.418], [0.329, 0.671, 0.159], [0.418, 0.582, 0.643], [0.426, 0.574, 0.880], [0.574, 0.426, 0.380], [0.582, 0.418, 0.143], [0.671, 0.329, 0.659], [0.747, 0.253, 0.918], [0.924, 0.076, 0.343]]}

[2]
{"formula": "La2PuSnN5", "functional": "PBE", "state": "relaxed", "formation_energy_uncorrected_ev_per_atom": -0.8540, "energy_ev_per_atom": -8.611, "cell": [[1.760, -7.262, 0.000], [1.760, 7.262, 0.000], [0.000, 0.000, 10.814]], "species": ["La", "La", "La", "La", "Pu", "Pu", "Sn", "Sn", "N", "N", "N", "N", "N", "N", "N", "N", "N", "N"], "frac_coords": [[0.112, 0.888, 0.500], [0.133, 0.867, 0.092], [0.867, 0.133, 0.592], [0.888, 0.112, 0.000], [0.216, 0.784, 0.810], [0.784, 0.216, 0.310], [0.485, 0.515, 0.274], [0.515, 0.485, 0.774], [0.059, 0.941, 0.860], [0.280, 0.720, 0.440], [0.300, 0.700, 0.183], [0.368, 0.632, 0.812], [0.495, 0.505, 0.583], [0.505, 0.495, 0.083], [0.632, 0.368, 0.312], [0.700, 0.300, 0.683], [0.720, 0.280, 0.940], [0.941, 0.059, 0.360]]}

[3]
{"formula": "Sr2LaPuN4", "functional": "PBE", "state": "relaxed", "formation_energy_uncorrected_ev_per_atom": -1.0113, "energy_ev_per_atom": -8.002, "cell": [[6.335, 0.000, 0.000], [0.000, 3.678, 0.000], [-2.090, 0.000, 6.000]], "species": ["Sr", "Sr", "La", "Pu", "N", "N", "N", "N"], "frac_coords": [[0.000, 0.000, 0.000], [0.500, 0.500, 0.000], [0.000, 0.500, 0.500], [0.500, 0.000, 0.500], [0.274, 0.500, 0.287], [0.281, 0.000, 0.697], [0.719, 0.000, 0.303], [0.726, 0.500, 0.713]]}

[4]
{"formula": "Sr3La2PuN6", "functional": "PBE", "state": "relaxed", "formation_energy_uncorrected_ev_per_atom": -1.0280, "energy_ev_per_atom": -7.627, "cell": [[3.194, -5.537, 0.000], [3.194, 5.537, 0.000], [-2.139, 0.000, 6.020]], "species": ["Sr", "Sr", "Sr", "La", "La", "Pu", "N", "N", "N", "N", "N", "N"], "frac_coords": [[0.000, 0.000, 0.000], [0.338, 0.662, 0.000], [0.662, 0.338, 0.000], [0.167, 0.833, 0.500], [0.833, 0.167, 0.500], [0.500, 0.500, 0.500], [0.138, 0.431, 0.292], [0.276, 0.276, 0.704], [0.431, 0.138, 0.292], [0.569, 0.862, 0.708], [0.724, 0.724, 0.296], [0.862, 0.569, 0.708]]}